# 1
ErMg2Ga3 | PBE | relaxed

Lattice parameters (Å, degrees): 4.773 4.773 6.120 90.00 90.00 120.00
Fractional coordinates of all 6 atoms:
Ga 0.667 0.333 0.809
Ga 0.333 0.667 0.191
Ga 0.000 0.000 0.500
Mg 0.667 0.333 0.317
Mg 0.333 0.667 0.683
Er 0.000 0.000 0.000

Results
The calculation puts the formation energy at -1.9 eV/f.u. As for the volume: 121 Å³ per cell. The size of the total moment is 0.00 μB/cell. As for the total energy: -3.12 eV per atom. For the density of states at the Fermi level, the calculation gives 4.6 states/eV/cell.



# 2
Er5Mg4Ga | PBE | relaxed

Lattice parameters (Å, degrees): 3.690 3.690 18.834 90.00 90.00 90.00
Fractional coordinates of all 10 atoms:
Er 0.500 0.500 0.500
Er 0.500 0.500 0.090
Er 0.500 0.500 0.705
Er 0.500 0.500 0.910
Er 0.500 0.500 0.295
Mg 0.000 0.000 0.806
Mg 0.000 0.000 0.603
Mg 0.000 0.000 0.194
Mg 0.000 0.000 0.397
Ga 0.000 0.000 0.000

Results
The calculation puts the formation energy at -1.7 eV/f.u. As for the volume: 256 Å³ per cell. The size of the total moment is 0.00 μB/cell. As for the total energy: -3.39 eV per atom. For the density of states at the Fermi level, the calculation gives 11.1 states/eV/cell.



# 3
Er2Mg3Ga4 | PBE | relaxed

Lattice parameters (Å, degrees): 6.011 7.600 8.789 90.00 110.00 90.00
Fractional coordinates of all 18 atoms:
Er 0.904 0.402 0.808
Er 0.404 0.098 0.808
Er 0.596 0.902 0.192
Er 0.096 0.598 0.192
Ga 0.164 0.976 0.327
Ga 0.183 0.750 0.866
Ga 0.664 0.524 0.327
Ga 0.336 0.476 0.673
Ga 0.317 0.250 0.134
Ga 0.683 0.750 0.866
Ga 0.836 0.024 0.673
Ga 0.817 0.250 0.134
Mg 0.500 0.500 0.000
Mg 0.515 0.750 0.529
Mg 0.985 0.250 0.471
Mg 0.000 0.000 0.000
Mg 0.015 0.750 0.529
Mg 0.485 0.250 0.471

Results
The calculation puts the formation energy at -3.0 eV/f.u. As for the volume: 377 Å³ per cell. The size of the total moment is 0.00 μB/cell. As for the total energy: -3.23 eV per atom. For the density of states at the Fermi level, the calculation gives 10.2 states/eV/cell.



# 4
ErMg2Ga | PBE | relaxed

Lattice parameters (Å, degrees): 3.191 3.191 11.096 81.73 81.73 60.00
Fractional coordinates of all 4 atoms:
Ga 0.500 0.500 0.500
Mg 0.097 0.097 0.708
Mg 0.903 0.903 0.292
Er 0.000 0.000 0.000

Results
As for the polymorph energy (0 for the lowest one): 39.26 kJ per mole of atoms. The calculation puts the formation energy at 0.5 eV/f.u. As for the volume: 96 Å³ per cell. The size of the total moment is 0.00 μB/cell. As for the total energy: -2.57 eV per atom. For the density of states at the Fermi level, the calculation gives 2.2 states/eV/cell.



# 5
Er8Mg2Ga | PBE | relaxed

Lattice parameters (Å, degrees): 5.270 6.934 9.278 106.56 106.50 90.00
Fractional coordinates of all 11 atoms:
Er 0.594 0.446 0.189
Er 0.197 0.282 0.393
Er 0.982 0.229 0.964
Er 0.406 0.554 0.811
Er 0.342 0.042 0.683
Er 0.658 0.958 0.317
Er 0.018 0.771 0.036
Er 0.803 0.718 0.607
Mg 0.184 0.710 0.369
Mg 0.816 0.290 0.631
Ga 0.500 0.000 0.000

Results
The calculation puts the formation energy at -0.5 eV/f.u. As for the volume: 310 Å³ per cell. The size of the total moment is 0.00 μB/cell. As for the total energy: -3.93 eV per atom. For the density of states at the Fermi level, the calculation gives 12.1 states/eV/cell.



# 6
ErMg2Ga2 | PBE | relaxed

Lattice parameters (Å, degrees): 4.284 4.164 12.313 99.73 100.02 90.00
Fractional coordinates of all 10 atoms:
Er 0.826 0.576 0.651
Er 0.174 0.424 0.349
Mg 0.450 0.700 0.899
Mg 0.949 0.199 0.898
Mg 0.051 0.801 0.102
Mg 0.550 0.300 0.101
Ga 0.624 0.874 0.247
Ga 0.376 0.126 0.753
Ga 0.725 0.975 0.450
Ga 0.275 0.025 0.550

Results
The calculation puts the formation energy at -1.7 eV/f.u. As for the volume: 213 Å³ per cell. The size of the total moment is 0.00 μB/cell. As for the total energy: -3.09 eV per atom. For the density of states at the Fermi level, the calculation gives 3.8 states/eV/cell.



# 7
Er3MgGa12 | PBE | relaxed

Lattice parameters (Å, degrees): 4.245 4.245 16.919 90.00 90.00 90.00
Fractional coordinates of all 16 atoms:
Ga 0.500 0.000 0.119
Ga 0.500 0.500 0.747
Ga 0.500 0.500 0.253
Ga 0.500 0.500 0.000
Ga 0.500 0.000 0.627
Ga 0.500 0.000 0.373
Ga 0.000 0.500 0.627
Ga 0.000 0.500 0.373
Ga 0.500 0.500 0.500
Ga 0.000 0.500 0.881
Ga 0.000 0.500 0.119
Ga 0.500 0.000 0.881
Mg 0.000 0.000 0.000
Er 0.000 0.000 0.247
Er 0.000 0.000 0.753
Er 0.000 0.000 0.500

Results
The calculation puts the formation energy at -6.5 eV/f.u. As for the volume: 305 Å³ per cell. The size of the total moment is 0.00 μB/cell. As for the total energy: -3.63 eV per atom. For the density of states at the Fermi level, the calculation gives 5.6 states/eV/cell.



# 8
Er3Mg4Ga4 | PBE | relaxed

Lattice parameters (Å, degrees): 4.452 7.268 8.515 115.26 105.15 90.00
Fractional coordinates of all 11 atoms:
Mg 0.328 0.132 0.656
Mg 0.672 0.868 0.344
Mg 0.672 0.475 0.344
Mg 0.328 0.525 0.656
Ga 0.782 0.282 0.565
Ga 0.500 0.184 0.000
Ga 0.500 0.816 0.000
Ga 0.218 0.718 0.435
Er 0.884 0.884 0.767
Er 0.000 0.500 0.000
Er 0.116 0.116 0.233

Results
The calculation puts the formation energy at -4.4 eV/f.u. As for the volume: 239 Å³ per cell. The size of the total moment is 0.00 μB/cell. As for the total energy: -3.33 eV per atom. For the density of states at the Fermi level, the calculation gives 4.7 states/eV/cell.



# 9
ErMg3Ga2 | PBE | relaxed

Lattice parameters (Å, degrees): 4.425 8.447 8.447 60.64 74.82 74.81
Fractional coordinates of all 12 atoms:
Ga 0.790 0.710 0.710
Ga 0.500 0.854 0.146
Ga 0.210 0.290 0.290
Ga 0.500 0.146 0.854
Mg 0.670 0.528 0.132
Mg 0.330 0.472 0.868
Mg 0.000 0.333 0.668
Mg 0.670 0.132 0.528
Mg 0.000 0.667 0.332
Mg 0.330 0.868 0.472
Er 0.873 0.126 0.127
Er 0.127 0.874 0.873

Results
The calculation puts the formation energy at -1.7 eV/f.u. As for the volume: 262 Å³ per cell. The size of the total moment is 0.00 μB/cell. As for the total energy: -2.85 eV per atom. For the density of states at the Fermi level, the calculation gives 5.1 states/eV/cell.



# 10
Er4MgGa12 | PBE | relaxed

Lattice parameters (Å, degrees): 7.540 7.540 7.540 109.47 109.47 109.47
Fractional coordinates of all 17 atoms:
Ga 0.691 0.000 0.691
Ga 0.000 0.691 0.691
Ga 0.309 0.309 0.000
Ga 0.250 0.500 0.750
Ga 0.750 0.250 0.500
Ga 0.000 0.309 0.309
Ga 0.309 0.000 0.309
Ga 0.500 0.750 0.250
Ga 0.750 0.500 0.250
Ga 0.691 0.691 0.000
Ga 0.250 0.750 0.500
Ga 0.500 0.250 0.750
Mg 0.000 0.000 0.000
Er 0.000 0.000 0.500
Er 0.000 0.500 0.000
Er 0.500 0.500 0.500
Er 0.500 0.000 0.000

Results
The calculation puts the formation energy at -8.1 eV/f.u. As for the volume: 330 Å³ per cell. The size of the total moment is 0.00 μB/cell. As for the total energy: -3.78 eV per atom. For the density of states at the Fermi level, the calculation gives 5.6 states/eV/cell.



# 11
Er3MgGa2 | PBE | relaxed

Lattice parameters (Å, degrees): 3.594 3.594 10.946 90.00 90.00 90.00
Fractional coordinates of all 6 atoms:
Ga 0.500 0.500 0.165
Ga 0.500 0.500 0.835
Er 0.000 0.000 0.317
Er 0.000 0.000 0.683
Er 0.000 0.000 0.000
Mg 0.500 0.500 0.500

Results
The calculation puts the formation energy at -2.4 eV/f.u. As for the volume: 141 Å³ per cell. The size of the total moment is 0.00 μB/cell. As for the total energy: -3.96 eV per atom. For the density of states at the Fermi level, the calculation gives 3.9 states/eV/cell.



# 12
Er2MgGa | PBE | relaxed

Lattice parameters (Å, degrees): 3.626 3.626 7.383 90.00 90.00 90.00
Fractional coordinates of all 4 atoms:
Ga 0.500 0.500 0.000
Er 0.000 0.000 0.232
Er 0.000 0.000 0.768
Mg 0.500 0.500 0.500

Results
The calculation puts the formation energy at -1.4 eV/f.u. As for the volume: 97 Å³ per cell. The size of the total moment is 0.00 μB/cell. As for the total energy: -3.78 eV per atom. For the density of states at the Fermi level, the calculation gives 2.3 states/eV/cell.



# 13
Er4Mg3Ga | PBE | relaxed

Lattice parameters (Å, degrees): 3.660 3.660 15.199 90.00 90.00 90.00
Fractional coordinates of all 8 atoms:
Mg 0.500 0.500 0.243
Mg 0.500 0.500 0.757
Mg 0.500 0.500 0.500
Er 0.000 0.000 0.112
Er 0.000 0.000 0.630
Er 0.000 0.000 0.888
Er 0.000 0.000 0.370
Ga 0.500 0.500 0.000

Results
The calculation puts the formation energy at -1.6 eV/f.u. As for the volume: 204 Å³ per cell. The size of the total moment is 0.00 μB/cell. As for the total energy: -3.46 eV per atom. For the density of states at the Fermi level, the calculation gives 7.8 states/eV/cell.



# 14
Er3MgGa | PBE | relaxed

Lattice parameters (Å, degrees): 6.648 9.041 9.017 75.53 90.00 90.00
Fractional coordinates of all 20 atoms:
Mg 0.751 0.014 0.997
Mg 0.251 0.986 0.503
Mg 0.749 0.014 0.497
Mg 0.249 0.986 0.003
Er 0.505 0.793 0.803
Er 0.752 0.440 0.890
Er 0.005 0.207 0.697
Er 0.748 0.440 0.390
Er 0.495 0.207 0.700
Er 0.995 0.793 0.303
Er 0.505 0.793 0.300
Er 0.252 0.560 0.610
Er 0.495 0.207 0.197
Er 0.005 0.207 0.200
Er 0.995 0.793 0.800
Er 0.248 0.560 0.110
Ga 0.752 0.650 0.087
Ga 0.248 0.350 0.913
Ga 0.748 0.650 0.587
Ga 0.252 0.350 0.413

Results
The calculation puts the formation energy at -1.3 eV/f.u. As for the volume: 525 Å³ per cell. The size of the total moment is 0.00 μB/cell. As for the total energy: -3.92 eV per atom. For the density of states at the Fermi level, the calculation gives 15.7 states/eV/cell.



# 15
ErMg8Ga6 | PBE | relaxed

Lattice parameters (Å, degrees): 8.177 8.177 7.447 56.70 56.70 60.00
Fractional coordinates of all 15 atoms:
Ga 0.282 0.607 0.170
Ga 0.058 0.718 0.830
Ga 0.607 0.942 0.170
Ga 0.393 0.058 0.830
Ga 0.718 0.393 0.830
Ga 0.942 0.282 0.170
Mg 0.665 0.665 0.004
Mg 0.777 0.111 0.657
Mg 0.544 0.223 0.343
Mg 0.335 0.335 0.996
Mg 0.889 0.544 0.343
Mg 0.456 0.777 0.657
Mg 0.223 0.889 0.343
Mg 0.111 0.456 0.657
Er 0.000 0.000 0.000

Results
The calculation puts the formation energy at -1.5 eV/f.u. As for the volume: 333 Å³ per cell. The size of the total moment is 0.00 μB/cell. As for the total energy: -2.47 eV per atom. For the density of states at the Fermi level, the calculation gives 7.9 states/eV/cell.



# 16
Er2MgGa | PBE | relaxed

Lattice parameters (Å, degrees): 5.119 5.119 5.119 60.00 60.00 60.00
Fractional coordinates of all 4 atoms:
Er 0.500 0.500 0.500
Er 0.000 0.000 0.000
Ga 0.250 0.250 0.250
Mg 0.750 0.750 0.750

Results
The calculation puts the formation energy at -1.3 eV/f.u. As for the volume: 95 Å³ per cell. The size of the total moment is 0.00 μB/cell. As for the total energy: -3.77 eV per atom. For the density of states at the Fermi level, the calculation gives 2.9 states/eV/cell.



# 17
Er2MgGa | PBE | relaxed

Lattice parameters (Å, degrees): 3.381 3.381 11.431 81.49 81.49 60.00
Fractional coordinates of all 4 atoms:
Er 0.088 0.088 0.735
Er 0.912 0.912 0.265
Mg 0.500 0.500 0.500
Ga 0.000 0.000 0.000

Results
The calculation puts the formation energy at 0.6 eV/f.u. As for the volume: 112 Å³ per cell. The size of the total moment is 0.00 μB/cell. As for the total energy: -3.29 eV per atom. For the density of states at the Fermi level, the calculation gives 3.6 states/eV/cell.



# 18
Er2MgGa2Ni5 | PBE | relaxed

Lattice parameters (Å, degrees): 3.538 9.469 9.469 90.00 90.00 90.00
Fractional coordinates of all 20 atoms:
Ni 0.500 0.938 0.215
Ni 0.500 0.438 0.285
Ni 0.500 0.785 0.938
Ni 0.500 0.000 0.500
Ni 0.500 0.715 0.438
Ni 0.500 0.285 0.562
Ni 0.500 0.562 0.715
Ni 0.500 0.062 0.785
Ni 0.500 0.500 0.000
Ni 0.500 0.215 0.062
Er 0.000 0.822 0.678
Er 0.000 0.678 0.178
Er 0.000 0.178 0.322
Er 0.000 0.322 0.822
Ga 0.000 0.881 0.381
Ga 0.000 0.119 0.619
Ga 0.000 0.381 0.119
Ga 0.000 0.619 0.881
Mg 0.000 0.000 0.000
Mg 0.000 0.500 0.500

Results
The calculation puts the formation energy at -3.6 eV/f.u. As for the volume: 317 Å³ per cell. The size of the total moment is 0.00 μB/cell. As for the total energy: -4.93 eV per atom. For the density of states at the Fermi level, the calculation gives 14.5 states/eV/cell.



# 19
ErMgGa2Ni2 | PBE | relaxed

Lattice parameters (Å, degrees): 4.226 4.226 6.449 90.00 90.00 120.00
Fractional coordinates of all 6 atoms:
Ni 0.333 0.667 0.706
Ni 0.667 0.333 0.294
Ga 0.333 0.667 0.286
Ga 0.667 0.333 0.714
Er 0.000 0.000 0.000
Mg 0.000 0.000 0.500

Results
The calculation puts the formation energy at -2.9 eV/f.u. As for the volume: 100 Å³ per cell. The size of the total moment is 0.00 μB/cell. As for the total energy: -4.45 eV per atom. For the density of states at the Fermi level, the calculation gives 4.4 states/eV/cell.



# 20
Er2MgGa3Ni4 | PBE | relaxed

Lattice parameters (Å, degrees): 3.871 3.871 11.030 90.00 90.00 90.00
Fractional coordinates of all 10 atoms:
Ni 0.000 0.000 0.000
Ni 0.500 0.500 0.000
Ni 0.000 0.500 0.347
Ni 0.500 0.000 0.653
Ga 0.000 0.000 0.500
Ga 0.000 0.500 0.129
Ga 0.500 0.000 0.871
Er 0.500 0.000 0.246
Er 0.000 0.500 0.754
Mg 0.500 0.500 0.500

Results
The calculation puts the formation energy at -4.9 eV/f.u. As for the volume: 165 Å³ per cell. The size of the total moment is 0.00 μB/cell. As for the total energy: -4.78 eV per atom. For the density of states at the Fermi level, the calculation gives 6.5 states/eV/cell.